A relaxed LiBiF2 crystal. Source: the Alexandria database, functional PBE-GGA.

Values from the calculation:
Distance to the lowest polymorph of the same formula in eV per atom: 0.000
Calculated total energy in eV/atom: -4.519

Lattice parameters (Å, degrees): 3.3359 3.3359 20.1526 90.00 90.00 120.00
Last column: nearest neighbours and their distance in Å.
Space group R-3m (No. 166, hexagonal axes)
Unique sites:
Li  0.0000  0.0000  0.0000 x3  6 F 2.19
Bi  0.0000  0.0000  0.5000 x3  2 F 2.32
F  0.0000  0.0000  0.3849 x6  3 Li 2.19, 1 Bi 2.32